Dy6Ho7 (PBE, relaxed); total magnetization = 5.23 μB per cell; E_form = 3.49 eV per formula unit; calculated density = 8.37 g/cm3; SG = R-3m (166)
1.0
3.2479 1.8752 11.5651
-3.2479 1.8752 11.5651
0.0000 -3.7503 11.5651
Dy Ho
6 7
direct
0.0465 0.0465 0.0465 Dy
0.1483 0.1483 0.1483 Dy
0.3336 0.3336 0.3336 Dy
0.6664 0.6664 0.6664 Dy
0.8517 0.8517 0.8517 Dy
0.9535 0.9535 0.9535 Dy
0.0839 0.5896 0.5896 Ho
0.4104 0.4104 0.9161 Ho
0.4104 0.9161 0.4104 Ho
0.5000 0.5000 0.5000 Ho
0.5896 0.0839 0.5896 Ho
0.5896 0.5896 0.0839 Ho
0.9161 0.4104 0.4104 Ho